Record 1
PaHg2I4: relaxed, PBE.

## Properties
**Uncorrected formation energy**: -0.50 eV/atom
**ΔE to the lowest computed polymorph**: 70.1 meV/atom

a b c (Å): 10.9118 10.9118 18.8045
angles (deg): 106.71 106.71 59.84
Element x y z (fractional)
Pa  0.0584  0.5669  0.6878
Pa  0.4331  0.9416  0.8122
Pa  0.5669  0.0584  0.1878
Pa  0.9416  0.4331  0.3122
Hg  0.0000  0.0000  0.0000
Hg  0.0000  0.0000  0.5000
Hg  0.0000  0.5000  0.0000
Hg  0.2627  0.7373  0.2500
Hg  0.5000  0.0000  0.5000
Hg  0.5000  0.5000  0.0000
Hg  0.5000  0.5000  0.5000
Hg  0.7373  0.2627  0.7500
I  0.1040  0.5946  0.3660
I  0.1050  0.1582  0.3624
I  0.1201  0.6140  0.8506
I  0.1582  0.1050  0.8624
I  0.3251  0.4043  0.6294
I  0.3860  0.8799  0.6494
I  0.4043  0.3251  0.1294
I  0.4054  0.8960  0.1340
I  0.5946  0.1040  0.8660
I  0.5957  0.6749  0.8706
I  0.6140  0.1201  0.3506
I  0.6749  0.5957  0.3706
I  0.8418  0.8950  0.1376
I  0.8799  0.3860  0.1494
I  0.8950  0.8418  0.6376
I  0.8960  0.4054  0.6340

***

Record 2
Tb4PrBi5: relaxed, PBE.

## Properties
**Energy relative to the elements**: -0.89 eV/atom

a b c (Å): 11.9608 11.9608 11.9608
angles (deg): 158.20 148.98 38.24
Element x y z (fractional)
Tb  0.1002  0.1002  0.0000
Tb  0.2982  0.2982  0.0000
Tb  0.7018  0.7018  0.0000
Tb  0.8998  0.8998  0.0000
Pr  0.5000  0.5000  0.0000
Bi  0.0000  0.5000  0.5000
Bi  0.1994  0.6994  0.5000
Bi  0.3965  0.8965  0.5000
Bi  0.6035  0.1035  0.5000
Bi  0.8006  0.3006  0.5000

***

no.,Fermi-level density of states (states/eV/f.u.)
1,2.15
2,2.00